1.
{"formula": "ReHgSe2", "functional": "PBE-GGA", "state": "optimized geometry", "spacegroup": "Cmmm, No. 65", "dos_at_fermi_per_ev_cell": 3.5, "total_energy_ev_per_atom": -4.54, "formation_energy_uncorrected_ev_per_atom": 0.3939, "lattice_angstrom": [[2.991, 0.003, 0.000], [-1.392, 2.647, 0.000], [0.000, 0.000, 10.813]], "species": ["Re", "Se", "Hg", "Se"], "frac_coords": [[0.500, 0.500, 0.750], [0.000, 0.000, 0.561], [0.500, 0.500, 0.250], [0.000, 0.000, 0.939]]}


2.
{"formula": "ReHg2Se", "functional": "PBE-GGA", "state": "optimized geometry", "spacegroup": "Cmm2, No. 35", "dos_at_fermi_per_ev_cell": 2.4, "total_energy_ev_per_atom": -3.66, "formation_energy_uncorrected_ev_per_atom": 0.4742, "lattice_angstrom": [[3.014, 0.008, 0.000], [-1.490, 2.620, 0.000], [0.000, 0.000, 11.094]], "species": ["Hg", "Se", "Re", "Hg"], "frac_coords": [[0.000, 0.000, 0.011], [0.500, 0.500, 0.687], [0.000, 0.000, 0.514], [0.500, 0.500, 0.287]]}


3.
{"formula": "ReHgSe2", "functional": "PBE-GGA", "state": "optimized geometry", "spacegroup": "P4mm, No. 99", "dos_at_fermi_per_ev_cell": 2.6, "total_energy_ev_per_atom": -4.57, "formation_energy_uncorrected_ev_per_atom": 0.3565, "lattice_angstrom": [[-2.467, 0.078, -1.716], [-1.386, -1.865, 1.907], [-3.128, 7.257, 4.825]], "species": ["Se", "Hg", "Se", "Re"], "frac_coords": [[0.000, 0.000, 0.921], [0.000, 0.000, 0.542], [0.500, 0.500, 0.269], [0.500, 0.500, 0.768]]}


4.
{"formula": "ReHgSe2", "functional": "PBE-GGA", "state": "optimized geometry", "spacegroup": "C2/m, No. 12", "dos_at_fermi_per_ev_cell": 3.0, "total_energy_ev_per_atom": -4.94, "formation_energy_uncorrected_ev_per_atom": -0.0093, "lattice_angstrom": [[3.204, -0.218, 0.154], [1.788, 2.668, 0.154], [1.144, 0.561, 10.129]], "species": ["Se", "Re", "Hg", "Se"], "frac_coords": [[0.026, 0.026, 0.925], [0.750, 0.750, 0.750], [0.250, 0.250, 0.250], [0.474, 0.474, 0.575]]}